1.
# GGA-PBE TbNd3Au3, relaxed
# Calculated formation energy in eV per atom: -0.598
# Total moment in μB/atom: 0.000
data_TbNd3Au3
_chemical_formula_sum 'Tb4 Nd12 Au12'
_space_group_name_H-M_alt 'C 1 2/m 1'
_space_group_IT_number 12
_cell_length_a 9.766
_cell_length_b 10.962
_cell_length_c 7.384
_cell_angle_alpha 90.00
_cell_angle_beta 91.53
_cell_angle_gamma 90.00
loop_
_space_group_symop_operation_xyz
'x,y,z'
'-x,-y,-z'
'-x,y,-z'
'x,-y,z'
'x+1/2,y+1/2,z'
'-x+1/2,-y+1/2,-z'
'-x+1/2,y+1/2,-z'
'x+1/2,-y+1/2,z'
loop_
_atom_site_label
_atom_site_type_symbol
_atom_site_fract_x
_atom_site_fract_y
_atom_site_fract_z
Tb1 Tb 0.245 0.000 0.376
Nd1 Nd 0.000 0.242 0.500
Nd2 Nd 0.000 0.322 0.000
Nd3 Nd 0.152 0.000 0.875
Au1 Au 0.064 0.500 0.314
Au2 Au 0.241 0.240 0.224

2.
# GGA-PBE TbNd3Au7, relaxed
# Calculated formation energy in eV per atom: -0.709
# Total moment in μB/atom: 0.000
data_TbNd3Au7
_chemical_formula_sum 'Tb4 Nd12 Au28'
_space_group_name_H-M_alt 'C m c m'
_space_group_IT_number 63
_space_group_name_Hall '-C 2c 2'
_cell_length_a 3.817
_cell_length_b 22.149
_cell_length_c 13.002
_cell_angle_alpha 90.00
_cell_angle_beta 90.00
_cell_angle_gamma 90.00
loop_
_atom_site_label
_atom_site_type_symbol
_atom_site_fract_x
_atom_site_fract_y
_atom_site_fract_z
Tb1 Tb 0.000 0.003 0.250
Nd1 Nd 0.000 0.139 0.555
Nd2 Nd 0.000 0.191 0.250
Au1 Au 0.000 0.278 0.569
Au2 Au 0.000 0.380 0.250
Au3 Au 0.000 0.403 0.636
Au4 Au 0.000 0.467 0.085

3.
# GGA-PBE TbNdAu2, relaxed
# Calculated formation energy in eV per atom: -0.832
# Total moment in μB/atom: 0.000
data_TbNdAu2
_chemical_formula_sum 'Tb1 Nd1 Au2'
_space_group_name_H-M_alt 'P 1 m 1'
_space_group_IT_number 6
_cell_length_a 3.821
_cell_length_b 4.756
_cell_length_c 5.922
_cell_angle_alpha 90.00
_cell_angle_beta 108.96
_cell_angle_gamma 90.00
loop_
_space_group_symop_operation_xyz
'x,y,z'
'x,-y,z'
loop_
_atom_site_label
_atom_site_type_symbol
_atom_site_fract_x
_atom_site_fract_y
_atom_site_fract_z
Tb1 Tb 0.000 0.000 0.000
Nd1 Nd 0.277 0.500 0.552
Au1 Au 0.549 0.500 0.098
Au2 Au 0.724 0.000 0.446

Among the records above, which one has the highest calculated formation energy? TbNd3Au3

Look up the total moment of the second one. 0.000 μB/atom